# 1
Material: ZnAg2Pt
Method: DFT, PBE
State: optimized geometry

Lattice parameters (Å, degrees): 4.5282 4.5282 4.5282 60.00 60.00 60.00
With the nearest neighbours (Å) after each atom.
Atoms (fractional coordinates):
Zn 0.0000 0.0000 0.0000  4 Pt 2.77, 4 Ag 2.77
Ag 0.2500 0.2500 0.2500  4 Ag 2.77, 4 Zn 2.77
Ag 0.5000 0.5000 0.5000  4 Pt 2.77, 4 Ag 2.77
Pt 0.7500 0.7500 0.7500  4 Zn 2.77, 4 Ag 2.77

E_form in eV per atom: -0.127

=====

# 2
Material: P3Au4
Method: DFT, PBE
State: optimized geometry

Lattice parameters (Å, degrees): 11.1112 11.1112 11.1112 19.04 19.04 19.04
With the nearest neighbours (Å) after each atom.
Atoms (fractional coordinates):
P 0.0000 0.0000 0.0000  6 Au 2.62
P 0.2407 0.2407 0.2407  6 Au 2.56-2.60
P 0.7593 0.7593 0.7593  6 Au 2.56-2.60
Au 0.1366 0.1366 0.1366  3 P 2.56
Au 0.3802 0.3802 0.3802  6 P 2.60-2.62
Au 0.6198 0.6198 0.6198  6 P 2.60-2.62
Au 0.8634 0.8634 0.8634  3 P 2.56

E in eV/atom: -3.9294

=====

# 3
Material: TcAuNO
Method: DFT, PBE
State: optimized geometry

Lattice parameters (Å, degrees): 3.8531 3.8531 6.5549 90.00 90.00 90.00
With the nearest neighbours (Å) after each atom.
Atoms (fractional coordinates):
Tc 0.2500 0.7500 0.0000  4 N 2.06
Tc 0.7500 0.2500 0.0000  4 N 2.06
Au 0.2500 0.2500 0.3260  4 O 2.24
Au 0.7500 0.7500 0.6740  4 O 2.24
N 0.2500 0.2500 0.8870  4 Tc 2.06
N 0.7500 0.7500 0.1130  4 Tc 2.06
O 0.2500 0.7500 0.5000  4 Au 2.24
O 0.7500 0.2500 0.5000  4 Au 2.24

Relative energy among the computed polymorphs in eV per atom: 0.5372

=====

# 4
Material: ErHfMg
Method: DFT, PBE
State: optimized geometry

Lattice parameters (Å, degrees): 4.9229 4.9229 4.9229 60.00 60.00 60.00
With the nearest neighbours (Å) after each atom.
Atoms (fractional coordinates):
Er 0.0000 0.0000 0.0000  4 Mg 3.01
Hf 0.5000 0.5000 0.5000  4 Mg 3.01
Mg 0.2500 0.2500 0.2500  4 Hf 3.01, 4 Er 3.01

Relative energy among the computed polymorphs in eV per atom: 0.0000

=====

# 5
Material: PrScPO
Method: DFT, PBE
State: optimized geometry

Lattice parameters (Å, degrees): 4.2315 4.2315 8.8555 90.00 90.00 90.00
With the nearest neighbours (Å) after each atom.
Atoms (fractional coordinates):
Pr 0.2500 0.2500 0.1255  4 O 2.39
Pr 0.7500 0.7500 0.8745  4 O 2.39
Sc 0.2500 0.7500 0.5000  4 P 2.60
Sc 0.7500 0.2500 0.5000  4 P 2.60
P 0.2500 0.2500 0.6706  4 Sc 2.60
P 0.7500 0.7500 0.3294  4 Sc 2.60
O 0.2500 0.7500 0.0000  4 Pr 2.39
O 0.7500 0.2500 0.0000  4 Pr 2.39

Relative energy among the computed polymorphs in eV per atom: 0.0263

=====

# 6
Material: MgNiSbPt
Method: DFT, PBE
State: optimized geometry

Lattice parameters (Å, degrees): 4.5350 4.5350 4.5350 60.00 60.00 60.00
With the nearest neighbours (Å) after each atom.
Atoms (fractional coordinates):
Mg 0.0000 0.0000 0.0000  4 Ni 2.78, 4 Pt 2.78
Ni 0.7500 0.7500 0.7500  4 Sb 2.78, 4 Mg 2.78
Sb 0.5000 0.5000 0.5000  4 Ni 2.78, 4 Pt 2.78
Pt 0.2500 0.2500 0.2500  4 Sb 2.78, 4 Mg 2.78

Relative energy among the computed polymorphs in eV per atom: 0.0000

=====

# 7
Material: Rb2Pd2O3
Method: DFT, PBE
State: optimized geometry

Lattice parameters (Å, degrees): 5.8883 5.8883 5.8883 65.43 65.43 65.43
With the nearest neighbours (Å) after each atom.
Atoms (fractional coordinates):
Rb 0.0000 0.0000 0.0000  6 O 2.94, 2 Pd 3.04
Rb 0.5000 0.5000 0.5000  6 O 3.18
Pd 0.2199 0.2199 0.2199  3 O 1.98
Pd 0.7801 0.7801 0.7801  3 O 1.98
O 0.0000 0.0000 0.5000  2 Pd 1.98
O 0.0000 0.5000 0.0000  2 Pd 1.98
O 0.5000 0.0000 0.0000  2 Pd 1.98

Relative energy among the computed polymorphs in eV per atom: 0.1422

=====

# 8
Material: Lu5Te3Os
Method: DFT, PBE
State: optimized geometry

Lattice parameters (Å, degrees): 8.5476 8.5476 3.7346 90.00 90.00 120.00
With the nearest neighbours (Å) after each atom.
Atoms (fractional coordinates):
Lu 0.0000 0.2287 0.0000  2 Os 2.70
Lu 0.2287 0.0000 0.0000  2 Os 2.70
Lu 0.3333 0.6667 0.0000  6 Te 3.15, 3 Lu 3.39
Lu 0.6667 0.3333 0.0000  6 Te 3.15, 3 Lu 3.39
Lu 0.7713 0.7713 0.0000  2 Os 2.70
Te 0.0000 0.5669 0.5000  6 Lu 3.15-3.44
Te 0.4331 0.4331 0.5000  6 Lu 3.15-3.44
Te 0.5669 0.0000 0.5000  6 Lu 3.15-3.44
Os 0.0000 0.0000 0.5000  6 Lu 2.70

Relative energy among the computed polymorphs in eV per atom: 0.0000

=====

# 9
Material: BeTePbW
Method: DFT, PBE
State: optimized geometry

Lattice parameters (Å, degrees): 4.8852 4.8852 4.8852 60.00 60.00 60.00
With the nearest neighbours (Å) after each atom.
Atoms (fractional coordinates):
Be 0.0000 0.0000 0.0000  4 W 2.99, 4 Pb 2.99
Te 0.5000 0.5000 0.5000  4 Pb 2.99, 4 W 2.99
Pb 0.2500 0.2500 0.2500  4 Be 2.99, 4 Te 2.99
W 0.7500 0.7500 0.7500  4 Te 2.99, 4 Be 2.99

Relative energy among the computed polymorphs in eV per atom: 0.1398

=====

# 10
Material: HoErZn2Ge2
Method: DFT, PBE
State: optimized geometry

Lattice parameters (Å, degrees): 4.2248 4.2248 15.4812 90.00 90.00 120.00
With the nearest neighbours (Å) after each atom.
Atoms (fractional coordinates):
Ho 0.0000 0.0000 0.0000  6 Ge 3.00, 6 Zn 3.35
Ho 0.0000 0.0000 0.5000  6 Ge 3.00, 6 Zn 3.35
Er 0.0000 0.0000 0.2500  6 Zn 2.90, 6 Ge 3.23
Er 0.0000 0.0000 0.7500  6 Zn 2.90, 6 Ge 3.23
Zn 0.3333 0.6667 0.1482  3 Ge 2.50
Zn 0.3333 0.6667 0.3518  3 Ge 2.50
Zn 0.6667 0.3333 0.6482  3 Ge 2.50
Zn 0.6667 0.3333 0.8518  3 Ge 2.50
Ge 0.3333 0.6667 0.6134  3 Zn 2.50
Ge 0.3333 0.6667 0.8866  3 Zn 2.50
Ge 0.6667 0.3333 0.1134  3 Zn 2.50
Ge 0.6667 0.3333 0.3866  3 Zn 2.50

Relative energy among the computed polymorphs in eV per atom: 0.0000

=====

# 11
Material: Tm4SnHgB2
Method: DFT, PBE
State: optimized geometry

Lattice parameters (Å, degrees): 3.6652 3.6652 15.7265 90.00 90.00 120.00
With the nearest neighbours (Å) after each atom.
Atoms (fractional coordinates):
Tm 0.0000 0.0000 0.1559  3 B 2.54
Tm 0.0000 0.0000 0.8441  3 B 2.54
Tm 0.6667 0.3333 0.3385  3 B 2.58
Tm 0.6667 0.3333 0.6615  3 B 2.58
Sn 0.0000 0.0000 0.5000  6 Tm 3.31, 6 Sn 3.67
Hg 0.6667 0.3333 0.0000  6 Tm 3.24
B 0.3333 0.6667 0.2450  6 Tm 2.54-2.58
B 0.3333 0.6667 0.7550  6 Tm 2.54-2.58

E in eV/atom: -4.6552

=====

# 12
Material: Na2CoSe2
Method: DFT, PBE
State: optimized geometry

Lattice parameters (Å, degrees): 7.3919 7.3919 7.3919 128.05 72.05 133.77
With the nearest neighbours (Å) after each atom.
Atoms (fractional coordinates):
Na 0.1426 0.1686 0.3112  5 Se 2.94-3.15, 2 Co 3.10
Na 0.3574 0.6686 0.0259  5 Se 2.94-3.15, 2 Co 3.10
Na 0.6426 0.3314 0.9741  5 Se 2.94-3.15, 2 Co 3.10
Na 0.8574 0.8314 0.6888  5 Se 2.94-3.15, 2 Co 3.10
Co 0.2500 0.7500 0.5000  4 Se 2.40
Co 0.7500 0.2500 0.5000  4 Se 2.40
Se 0.1129 0.7101 0.8229  2 Co 2.40
Se 0.3871 0.2101 0.5972  2 Co 2.40
Se 0.6129 0.7899 0.4028  2 Co 2.40
Se 0.8871 0.2899 0.1771  2 Co 2.40

E in eV/atom: -4.0078